[1]
Compound: ZrCdPt2
Source: the Alexandria database
Functional: PBE
Structure: optimized geometry

Structure (CIF):
```
data_ZrCdPt2
_symmetry_space_group_name_H-M 'I -4 2 d'
_symmetry_Int_Tables_number 122
_symmetry_space_group_name_Hall 'I -4 2bw'
_cell_length_a 7.436
_cell_length_b 7.436
_cell_length_c 5.810
_cell_angle_alpha 90.00
_cell_angle_beta 90.00
_cell_angle_gamma 90.00
loop_
_atom_site_label
_atom_site_type_symbol
_atom_site_fract_x
_atom_site_fract_y
_atom_site_fract_z
Zr1 Zr 0.000 0.000 0.000
Cd1 Cd 0.000 0.000 0.500
Pt1 Pt 0.237 0.750 0.125
```

Values from the calculation:
As for the energy: -5.71 eV/atom. The calculation puts the volume at 20.08 Å³/atom.

***

[2]
Compound: ZrCdPt2
Source: the Alexandria database
Functional: PBE
Structure: optimized geometry

Structure (CIF):
```
data_ZrCdPt2
_symmetry_space_group_name_H-M 'R -3 m'
_symmetry_Int_Tables_number 166
_symmetry_space_group_name_Hall '-R 3 2"'
_cell_length_a 2.9794
_cell_length_b 2.9794
_cell_length_c 28.4117
_cell_angle_alpha 90.00
_cell_angle_beta 90.00
_cell_angle_gamma 120.00
loop_
_atom_site_label
_atom_site_type_symbol
_atom_site_fract_x
_atom_site_fract_y
_atom_site_fract_z
Zr1 Zr 0.0000 0.0000 0.0000
Cd1 Cd 0.0000 0.0000 0.5000
Pt1 Pt 0.0000 0.0000 0.2524
```

Values from the calculation:
As for the energy: -5.83 eV/atom. The calculation puts the volume at 18.20 Å³/atom.

***

[3]
Compound: Zr2Cd2Pt
Source: the Alexandria database
Functional: PBE
Structure: optimized geometry

Structure (CIF):
```
data_Zr2Cd2Pt
_symmetry_space_group_name_H-M 'P 4/m b m'
_symmetry_Int_Tables_number 127
_symmetry_space_group_name_Hall '-P 4 2ab'
_cell_length_a 7.128
_cell_length_b 7.128
_cell_length_c 4.112
_cell_angle_alpha 90.00
_cell_angle_beta 90.00
_cell_angle_gamma 90.00
loop_
_atom_site_label
_atom_site_type_symbol
_atom_site_fract_x
_atom_site_fract_y
_atom_site_fract_z
Zr1 Zr 0.169 0.331 0.000
Cd1 Cd 0.136 0.636 0.500
Pt1 Pt 0.000 0.000 0.500
```

Values from the calculation:
As for the energy: -5.11 eV/atom. The calculation puts the volume at 20.89 Å³/atom.

***

[4]
Compound: Zr2CdPt
Source: the Alexandria database
Functional: PBE
Structure: optimized geometry

Structure (CIF):
```
data_Zr2CdPt
_symmetry_space_group_name_H-M 'I -4 m 2'
_symmetry_Int_Tables_number 119
_symmetry_space_group_name_Hall 'I -4 -2'
_cell_length_a 4.148
_cell_length_b 4.148
_cell_length_c 9.257
_cell_angle_alpha 90.00
_cell_angle_beta 90.00
_cell_angle_gamma 90.00
loop_
_atom_site_label
_atom_site_type_symbol
_atom_site_fract_x
_atom_site_fract_y
_atom_site_fract_z
Zr1 Zr 0.000 0.000 0.000
Zr2 Zr 0.000 0.500 0.250
Cd1 Cd 0.000 0.500 0.750
Pt1 Pt 0.000 0.000 0.500
```

Values from the calculation:
As for the energy: -6.41 eV/atom. The calculation puts the volume at 19.91 Å³/atom.

***

[5]
Compound: Zr2CdPt2
Source: the Alexandria database
Functional: PBE
Structure: optimized geometry

Structure (CIF):
```
data_Zr2CdPt2
_symmetry_space_group_name_H-M 'I 4/m m m'
_symmetry_Int_Tables_number 139
_symmetry_space_group_name_Hall '-I 4 2'
_cell_length_a 4.670
_cell_length_b 4.670
_cell_length_c 10.328
_cell_angle_alpha 90.00
_cell_angle_beta 90.00
_cell_angle_gamma 90.00
loop_
_atom_site_label
_atom_site_type_symbol
_atom_site_fract_x
_atom_site_fract_y
_atom_site_fract_z
Zr1 Zr 0.000 0.500 0.250
Cd1 Cd 0.000 0.000 0.000
Pt1 Pt 0.000 0.000 0.377
```

Values from the calculation:
As for the energy: -6.66 eV/atom. The calculation puts the volume at 22.53 Å³/atom.

***

[6]
Compound: ZrCdPt2
Source: the Alexandria database
Functional: PBE
Structure: optimized geometry

Structure (CIF):
```
data_ZrCdPt2
_symmetry_space_group_name_H-M 'C m m m'
_symmetry_Int_Tables_number 65
_symmetry_space_group_name_Hall '-C 2 2'
_cell_length_a 6.882
_cell_length_b 6.960
_cell_length_c 3.053
_cell_angle_alpha 90.00
_cell_angle_beta 90.00
_cell_angle_gamma 90.00
loop_
_atom_site_label
_atom_site_type_symbol
_atom_site_fract_x
_atom_site_fract_y
_atom_site_fract_z
Zr1 Zr 0.000 0.000 0.000
Cd1 Cd 0.000 0.500 0.000
Pt1 Pt 0.250 0.250 0.500
```

Values from the calculation:
As for the energy: -6.01 eV/atom. The calculation puts the volume at 18.28 Å³/atom.

***

[7]
Compound: Zr4CdPt
Source: the Alexandria database
Functional: PBE
Structure: optimized geometry

Structure (CIF):
```
data_Zr4CdPt
_symmetry_space_group_name_H-M 'F -4 3 m'
_symmetry_Int_Tables_number 216
_symmetry_space_group_name_Hall 'F -4 2 3'
_cell_length_a 8.003
_cell_length_b 8.003
_cell_length_c 8.003
_cell_angle_alpha 90.00
_cell_angle_beta 90.00
_cell_angle_gamma 90.00
loop_
_atom_site_label
_atom_site_type_symbol
_atom_site_fract_x
_atom_site_fract_y
_atom_site_fract_z
Zr1 Zr 0.125 0.125 0.125
Cd1 Cd 0.250 0.250 0.750
Pt1 Pt 0.000 0.000 0.500
```

Values from the calculation:
As for the energy: -6.72 eV/atom. The calculation puts the volume at 21.36 Å³/atom.

***

[8]
Compound: Zr2CdPt2
Source: the Alexandria database
Functional: PBE
Structure: optimized geometry

Structure (CIF):
```
data_Zr2CdPt2
_symmetry_space_group_name_H-M 'I 4/m m m'
_symmetry_Int_Tables_number 139
_symmetry_space_group_name_Hall '-I 4 2'
_cell_length_a 3.880
_cell_length_b 3.880
_cell_length_c 14.340
_cell_angle_alpha 90.00
_cell_angle_beta 90.00
_cell_angle_gamma 90.00
loop_
_atom_site_label
_atom_site_type_symbol
_atom_site_fract_x
_atom_site_fract_y
_atom_site_fract_z
Zr1 Zr 0.000 0.000 0.114
Cd1 Cd 0.000 0.000 0.500
Pt1 Pt 0.000 0.500 0.250
```

Values from the calculation:
As for the energy: -6.41 eV/atom. The calculation puts the volume at 21.59 Å³/atom.